This record from Alexandria describes AlTc2Mo after structural relaxation. The functional is PBE-GGA.

Lattice parameters (Å, degrees): 2.738 4.288 5.175 90.00 101.47 90.00
Space group P2/m (No. 10)
One atom of each set of equivalent atoms:
1 Al 0.000 0.000 0.000 x1
2 Tc 0.297 0.500 0.758 x2
3 Mo 0.500 0.000 0.500 x1

E = -8.943 eV/atom
DFT formation energy = -117 meV per atom